# Ta2WIF | Alexandria via LeMat-Bulk | GGA+U | optimized geometry
# DOS at the Fermi energy: 0.960 states/eV/atom
# Space-group type: P4/mmm
# Final energy: -5.82 eV/atom
data_Ta2WIF
_cell_length_a 5.1509
_cell_length_b 4.1347
_cell_length_c 5.1509
_cell_angle_alpha 90.00
_cell_angle_beta 90.00
_cell_angle_gamma 90.00
_space_group_name_H-M_alt 'P 1'
_space_group_IT_number 1
_space_group_name_Hall 'P 1'
loop_
_atom_site_label
_atom_site_fract_x
_atom_site_fract_y
_atom_site_fract_z
Ta1 0.5000 0.0000 0.0000
Ta2 0.0000 0.0000 0.5000
W1 0.0000 0.0000 0.0000
F1 0.0000 0.5000 0.0000
I1 0.5000 0.5000 0.5000